# Tb8TlIr2

A geometry-optimized Tb8TlIr2 structure (GGA-PBE, the Alexandria database).

Values from the calculation:
The calculation puts the magnetization at 0.0 μB/cell. The value obtained for the total energy is -5.587 eV/atom. As for the space group: C2/m (12). The value obtained for the calculated formation energy is -0.394 eV/atom.

Cell lengths 7.9675, 7.9675, 5.4995 Å; angles 97.45, 97.45, 113.28 degrees
With the nearest neighbours (Å) after each atom.
Positions (direct):
Tb  0.0701  0.3299  0.5749  2 Ir 2.87-2.93
Tb  0.2480  0.7520  0.0000  2 Ir 2.87
Tb  0.3299  0.0701  0.5749  2 Ir 2.87-2.93
Tb  0.3879  0.3879  0.1997  2 Ir 3.07, 4 Tb 3.27-3.42, 1 Tl 3.32
Tb  0.6121  0.6121  0.8003  2 Ir 3.07, 4 Tb 3.27-3.42, 1 Tl 3.32
Tb  0.6701  0.9299  0.4251  2 Ir 2.87-2.93
Tb  0.7520  0.2480  0.0000  2 Ir 2.87
Tb  0.9299  0.6701  0.4251  2 Ir 2.87-2.93
Tl  0.0000  0.0000  0.0000  12 Tb 3.30-3.67
Ir  0.3089  0.6911  0.5000  8 Tb 2.87-3.07
Ir  0.6911  0.3089  0.5000  8 Tb 2.87-3.07


# LiNi3Ge

A geometry-optimized LiNi3Ge structure (GGA-PBE, the Alexandria database).

Values from the calculation:
Its energy above the most stable polymorph in this dataset is 0.000 eV per atom. The calculation puts the magnetization at 0.0 μB/cell. The value obtained for the total energy is -5.047 eV/atom. As for the space group: Cmcm (63). The value obtained for the calculated formation energy is -0.272 eV/atom.

Cell lengths 8.2650, 8.2650, 3.7476 Å; angles 90.00, 90.00, 153.81 degrees
With the nearest neighbours (Å) after each atom.
Positions (direct):
Li  0.1492  0.8508  0.7500  8 Ni 2.45-2.48, 4 Ge 2.65
Li  0.8508  0.1492  0.2500  8 Ni 2.45-2.48, 4 Ge 2.65
Ni  0.0514  0.9486  0.2500  2 Li 2.45, 2 Ge 2.45, 8 Ni 2.50-2.65
Ni  0.2497  0.7503  0.2500  4 Ge 2.47-2.48, 4 Li 2.48, 4 Ni 2.65
Ni  0.4486  0.5514  0.2500  2 Li 2.45, 2 Ge 2.45, 8 Ni 2.50-2.65
Ni  0.5514  0.4486  0.7500  2 Li 2.45, 2 Ge 2.45, 8 Ni 2.50-2.65
Ni  0.7503  0.2497  0.7500  4 Ge 2.47-2.48, 4 Li 2.48, 4 Ni 2.65
Ni  0.9486  0.0514  0.7500  2 Li 2.45, 2 Ge 2.45, 8 Ni 2.50-2.65
Ge  0.3505  0.6495  0.7500  8 Ni 2.45-2.48, 4 Li 2.65
Ge  0.6495  0.3505  0.2500  8 Ni 2.45-2.48, 4 Li 2.65


# BaCd2In3

A geometry-optimized BaCd2In3 structure (GGA-PBE, the Alexandria database).

Values from the calculation:
Its energy above the most stable polymorph in this dataset is 0.032 eV per atom. The calculation puts the magnetization at 0.0 μB/cell. The value obtained for the total energy is -2.185 eV/atom. As for the space group: Cmcm (63). The value obtained for the calculated formation energy is -0.191 eV/atom.

Cell lengths 7.7127, 7.7127, 6.1828 Å; angles 90.00, 90.00, 79.06 degrees
With the nearest neighbours (Å) after each atom.
Positions (direct):
Ba  0.1761  0.8239  0.7500  5 In 3.57-3.73, 4 Cd 3.91
Ba  0.8239  0.1761  0.2500  5 In 3.57-3.73, 4 Cd 3.91
Cd  0.2643  0.2643  0.0000  6 In 2.95-3.23, 2 Cd 3.09
Cd  0.2643  0.2643  0.5000  6 In 2.95-3.23, 2 Cd 3.09
Cd  0.7357  0.7357  0.0000  6 In 2.95-3.23, 2 Cd 3.09
Cd  0.7357  0.7357  0.5000  6 In 2.95-3.23, 2 Cd 3.09
In  0.0592  0.6001  0.2500  4 Cd 2.95-3.17, 1 In 3.04
In  0.3999  0.9408  0.2500  4 Cd 2.95-3.17, 1 In 3.04
In  0.4603  0.5397  0.2500  4 In 3.04-3.19, 4 Cd 3.23
In  0.5397  0.4603  0.7500  4 In 3.04-3.19, 4 Cd 3.23
In  0.6001  0.0592  0.7500  4 Cd 2.95-3.17, 1 In 3.04
In  0.9408  0.3999  0.7500  4 Cd 2.95-3.17, 1 In 3.04


# RbBaHfCo2

A geometry-optimized RbBaHfCo2 structure (GGA-PBE, the Alexandria database).

Values from the calculation:
The calculation puts the magnetization at 0.0 μB/cell. The value obtained for the total energy is -3.270 eV/atom. As for the space group: P4/mmm (123). The value obtained for the calculated formation energy is 2.141 eV/atom.

Cell lengths 5.0926, 5.0926, 5.6200 Å; angles 90.00, 90.00, 90.00 degrees
With the nearest neighbours (Å) after each atom.
Positions (direct):
Rb  0.0000  0.0000  0.0000  4 Hf 3.60, 8 Co 3.79
Ba  0.5000  0.5000  0.5000  4 Co 2.55, 2 Hf 2.81
Hf  0.5000  0.5000  0.0000  2 Ba 2.81
Co  0.0000  0.5000  0.5000  2 Ba 2.55
Co  0.5000  0.0000  0.5000  2 Ba 2.55


# CsGa2SnCl8

A geometry-optimized CsGa2SnCl8 structure (GGA-PBE, the Alexandria database).

Values from the calculation:
The calculation puts the magnetization at 0.0 μB/cell. The value obtained for the total energy is -3.284 eV/atom. As for the space group: R-3 (148). The value obtained for the energy relative to the elements, uncorrected is -1.14 eV per atom.

Cell lengths 10.6909, 10.6909, 10.6909 Å; angles 37.46, 37.46, 37.46 degrees
With the nearest neighbours (Å) after each atom.
Positions (direct):
Cs  0.0000  0.0000  0.0000  12 Cl 3.97-3.98
Ga  0.2514  0.2514  0.2514  4 Cl 2.24-2.29
Ga  0.7486  0.7486  0.7486  4 Cl 2.24-2.29
Sn  0.5000  0.5000  0.5000  6 Cl 2.94
Cl  0.0891  0.4596  0.7737  1 Ga 2.29
Cl  0.2263  0.9109  0.5404  1 Ga 2.29
Cl  0.3266  0.3266  0.3266  1 Ga 2.24
Cl  0.4596  0.7737  0.0891  1 Ga 2.29
Cl  0.5404  0.2263  0.9109  1 Ga 2.29
Cl  0.6734  0.6734  0.6734  1 Ga 2.24
Cl  0.7737  0.0891  0.4596  1 Ga 2.29
Cl  0.9109  0.5404  0.2263  1 Ga 2.29


# PbBr

A geometry-optimized PbBr structure (GGA-PBE, the Alexandria database).

Values from the calculation:
The calculation puts the magnetization at 0.0 μB/cell. The value obtained for the total energy is -3.139 eV/atom. As for the space group: P-6m2 (187). The value obtained for the energy relative to the elements, uncorrected is -0.45 eV per atom.

Cell lengths 3.7552, 3.7552, 4.9496 Å; angles 90.00, 90.00, 120.00 degrees
With the nearest neighbours (Å) after each atom.
Positions (direct):
Pb  0.0000  0.0000  0.0000  6 Br 3.29
Br  0.3333  0.6667  0.5000  6 Pb 3.29


Question: Number 5 is which compound?
Answer: CsGa2SnCl8


Copy entry 5 word for word.
# CsGa2SnCl8

A geometry-optimized CsGa2SnCl8 structure (GGA-PBE, the Alexandria database).

Values from the calculation:
The calculation puts the magnetization at 0.0 μB/cell. The value obtained for the total energy is -3.284 eV/atom. As for the space group: R-3 (148). The value obtained for the energy relative to the elements, uncorrected is -1.14 eV per atom.

Cell lengths 10.6909, 10.6909, 10.6909 Å; angles 37.46, 37.46, 37.46 degrees
With the nearest neighbours (Å) after each atom.
Positions (direct):
Cs  0.0000  0.0000  0.0000  12 Cl 3.97-3.98
Ga  0.2514  0.2514  0.2514  4 Cl 2.24-2.29
Ga  0.7486  0.7486  0.7486  4 Cl 2.24-2.29
Sn  0.5000  0.5000  0.5000  6 Cl 2.94
Cl  0.0891  0.4596  0.7737  1 Ga 2.29
Cl  0.2263  0.9109  0.5404  1 Ga 2.29
Cl  0.3266  0.3266  0.3266  1 Ga 2.24
Cl  0.4596  0.7737  0.0891  1 Ga 2.29
Cl  0.5404  0.2263  0.9109  1 Ga 2.29
Cl  0.6734  0.6734  0.6734  1 Ga 2.24
Cl  0.7737  0.0891  0.4596  1 Ga 2.29
Cl  0.9109  0.5404  0.2263  1 Ga 2.29